[1]
VASP calculation (GGA-PBE) on a relaxed Tb12ZnRh6 crystal.

```
Tb12ZnRh6
1.0
8.2530 -0.2246 -0.2691
-1.4732 8.1235 -0.2691
-1.4732 -1.7164 7.9447
Tb Rh Zn
12 6 1
Direct
0.6715 0.9268 0.0667
0.8261 0.5833 0.4336
0.1739 0.4167 0.5664
0.4167 0.5664 0.1739
0.3285 0.0732 0.9333
0.5833 0.4336 0.8261
0.0732 0.9333 0.3285
0.9333 0.3285 0.0732
0.9268 0.0667 0.6715
0.0667 0.6715 0.9268
0.5664 0.1739 0.4167
0.4336 0.8261 0.5833
0.6153 0.3082 0.1395
0.8605 0.3847 0.6918
0.3082 0.1395 0.6153
0.6918 0.8605 0.3847
0.1395 0.6153 0.3082
0.3847 0.6918 0.8605
0.0000 0.0000 0.0000
```

Values from the calculation:
N(E_F) = 0.62 states/eV per atom
space group = R-3, No. 148
formation enthalpy at 0 K = -0.503 eV/atom
crystal system = trigonal

=====

[2]
VASP calculation (GGA-PBE) on a relaxed SrCd2Cl crystal.

```
SrCd2Cl
1.0
-1.7598 -2.0975 -2.5175
1.8599 -2.9921 1.1927
-6.5681 -1.6910 6.0003
Cd Sr Cl
2 1 1
Direct
0.5000 0.5000 0.1749
0.0000 0.0000 0.0072
0.5000 0.5000 0.7386
0.0000 0.0000 0.5792
```

Values from the calculation:
formation energy from raw total energies = -0.811 eV/atom
N(E_F) = 0.18 states/eV per atom
space group = P4mm, No. 99
crystal system = tetragonal

=====

[3]
VASP calculation (GGA-PBE) on a relaxed CdCo2Ni crystal.

```
CdCo2Ni
1.0
3.6471 0.0000 0.0000
0.0000 3.6447 0.0000
0.0000 0.0000 3.9717
Co Ni Cd
2 1 1
Direct
0.5000 0.5000 0.0000
0.0000 0.0000 0.0000
0.5000 0.0000 0.5000
0.0000 0.5000 0.5000
```

Values from the calculation:
N(E_F) = 1.34 states/eV per atom
space group = P4/mmm, No. 123
formation enthalpy at 0 K = 0.297 eV/atom
crystal system = tetragonal

=====

[4]
VASP calculation (GGA-PBE) on a relaxed NaV2S4 crystal.

```
NaV2S4
1.0
3.2639 0.0000 -0.6534
-0.3032 5.6112 -1.5147
-0.1965 -0.3931 7.4976
V S Na
2 4 1
Direct
0.2485 0.2157 0.4970
0.7515 0.7843 0.5030
0.8424 0.4930 0.6848
0.1576 0.5070 0.3152
0.6404 0.9949 0.2808
0.3596 0.0051 0.7192
0.5000 0.5000 0.0000
```

Values from the calculation:
formation energy from raw total energies = -0.993 eV/atom
N(E_F) = 0.48 states/eV per atom
space group = C2/m, No. 12
crystal system = monoclinic

=====

[5]
VASP calculation (GGA-PBE) on a relaxed BeRu2Au crystal.

```
BeRu2Au
1.0
4.6162 0.0047 0.0000
1.4023 4.3981 0.0000
-3.0093 -2.2014 2.7217
Ru Be Au
2 1 1
Direct
0.0000 0.0000 0.0000
0.2500 0.7500 0.5000
0.7500 0.2500 0.5000
0.5000 0.5000 0.0000
```

Values from the calculation:
N(E_F) = 0.71 states/eV per atom
space group = I-4m2, No. 119
formation enthalpy at 0 K = 0.220 eV/atom
crystal system = tetragonal

=====

[6]
VASP calculation (GGA-PBE) on a relaxed Er2BiO3 crystal.

```
Er2BiO3
1.0
3.7001 0.0000 0.0000
-1.8501 6.3176 -0.4871
0.0000 -3.6061 9.5738
O Bi Er
6 2 4
Direct
0.3069 0.6138 0.2811
0.9839 0.9678 0.3611
0.6561 0.3123 0.4211
0.3439 0.6877 0.5789
0.0161 0.0322 0.6389
0.6931 0.3862 0.7189
0.8581 0.7163 0.9244
0.1419 0.2837 0.0756
0.1607 0.3215 0.5588
0.4781 0.9562 0.2549
0.8393 0.6785 0.4412
0.5219 0.0438 0.7451
```

Values from the calculation:
formation energy from raw total energies = -2.734 eV/atom
N(E_F) = 0.17 states/eV per atom
space group = C2/m, No. 12
crystal system = monoclinic